1) Density functional theory data (SCAN) for a crystal of Tl2TcSb relaxed with PBEsol.

abc: 3.1434 3.1434 9.0700
angles: 90.00 90.00 90.00
Atoms (fractional coordinates):
Tl1 0.0000 0.0000 0.2068
Tl2 0.0000 0.0000 0.7932
Tc1 0.5000 0.5000 0.0000
Sb1 0.5000 0.5000 0.5000

Crystal system: tetragonal
Space group: No. 123

=====

2) Density functional theory data (SCAN) for a crystal of Tl2TcSb relaxed with PBEsol.

abc: 6.1705 6.1705 3.4036
angles: 105.50 105.50 124.04
Atoms (fractional coordinates):
Tl1 0.0000 0.5000 0.0000
Tl2 0.5000 0.0000 0.0000
Tc1 0.0000 0.0000 0.5000
Sb1 0.5000 0.5000 0.5000

Crystal system: monoclinic
Space group: No. 12

=====

3) Density functional theory data (SCAN) for a crystal of Tl2TcSb relaxed with PBEsol.

abc: 4.9231 4.9231 7.0883
angles: 110.01 110.01 37.47
Atoms (fractional coordinates):
Tl1 0.0000 0.0000 0.0000
Tl2 0.1815 0.1815 0.7210
Tc1 0.6339 0.6339 0.3614
Sb1 0.3543 0.3543 0.3619

Crystal system: monoclinic
Space group: No. 8

=====

3) comes first in stability; the runner-up is 382 meV per atom higher.

=====

1) Density functional theory data (SCAN) for a crystal of TcSb2W relaxed with PBEsol.

abc: 4.6132 4.6132 3.2510
angles: 90.00 90.00 90.00
Atoms (fractional coordinates):
Tc1 0.0000 0.0000 0.0000
Sb1 0.0000 0.5000 0.5000
Sb2 0.5000 0.0000 0.5000
W1 0.5000 0.5000 0.0000

Crystal system: tetragonal
Space group: No. 123

=====

2) Density functional theory data (SCAN) for a crystal of TcSb2W relaxed with PBEsol.

abc: 5.2798 5.2798 5.2798
angles: 143.90 119.92 72.13
Atoms (fractional coordinates):
Tc1 0.0000 0.0000 0.0000
Sb1 0.2437 0.7437 0.5000
Sb2 0.7563 0.2563 0.5000
W1 0.5000 0.5000 0.0000

Crystal system: orthorhombic
Space group: No. 71

=====

1) comes first in stability; the runner-up is 441 meV per atom higher.